The following is a GGA-PBE calculation of a relaxed BaMgPtS2 crystal, from Alexandria.

Geometry as POSCAR:
```
BaMgPtS2
1.0
5.651 0.000 0.000
0.000 5.651 0.000
0.000 0.000 5.397
Ba Mg Pt S
1 1 1 2
Cartesian
0.000 0.000 0.000
2.825 2.825 2.699
0.000 0.000 2.699
0.000 2.825 0.000
2.825 0.000 0.000
```

Computed properties:
raw formation energy = 621 meV/atom
E_tot = -2.942 eV/atom
magnetic moment = 0.000 μB/cell



The following is a GGA-PBE calculation of a relaxed Pr4PAuSe2 crystal, from Alexandria.

Geometry as POSCAR:
```
Pr4PAuSe2
1.0
7.412 0.000 0.000
0.000 4.228 0.000
-2.405 0.000 7.067
Pr P Au Se
4 1 1 2
Cartesian
1.215 0.000 1.663
0.017 2.114 5.368
4.990 2.114 1.699
3.792 0.000 5.404
0.000 2.114 0.000
-1.203 0.000 3.534
3.706 0.000 0.000
2.503 2.114 3.534
```

Computed properties:
raw formation energy = -1493 meV/atom
E_tot = -5.840 eV/atom
magnetic moment = 0.000 μB/cell



The following is a GGA-PBE calculation of a relaxed Rb2PrYS4 crystal, from Alexandria.

Geometry as POSCAR:
```
Rb2PrYS4
1.0
7.227 0.000 0.000
0.000 4.172 0.000
-2.406 0.000 7.712
Rb Pr Y S
2 1 1 4
Cartesian
0.000 0.000 0.000
3.614 2.086 0.000
-1.203 2.086 3.856
2.411 0.000 3.856
0.066 0.000 5.376
1.266 2.086 2.363
3.555 2.086 5.349
4.755 0.000 2.336
```

Computed properties:
raw formation energy = -1832 meV/atom
E_tot = -5.543 eV/atom
magnetic moment = 0.000 μB/cell



The following is a GGA-PBE calculation of a relaxed Nd6In2CN crystal, from Alexandria.

Geometry as POSCAR:
```
Nd6In2CN
1.0
0.000 5.094 5.094
5.094 0.000 5.094
5.094 5.094 0.000
Nd In C N
6 2 1 1
Cartesian
5.094 5.094 2.540
5.094 2.540 5.094
7.649 5.094 5.094
2.540 5.094 5.094
5.094 7.649 5.094
5.094 5.094 7.649
2.547 2.547 2.547
7.641 7.641 7.641
5.094 5.094 5.094
0.000 0.000 0.000
```

Computed properties:
raw formation energy = -596 meV/atom
E_tot = -5.759 eV/atom
magnetic moment = 0.000 μB/cell



The following is a GGA-PBE calculation of a relaxed NaCdAg2F6 crystal, from Alexandria.

Geometry as POSCAR:
```
NaCdAg2F6
1.0
5.728 0.000 0.000
0.000 6.017 0.000
-5.458 0.000 8.783
Na Cd Ag F
2 2 4 12
Cartesian
0.000 0.000 0.000
-2.729 3.009 4.392
0.135 0.000 4.392
2.864 3.009 0.000
-2.784 0.435 6.324
-0.055 2.573 1.932
0.324 3.444 6.851
3.053 5.582 2.459
-1.640 1.169 3.777
-4.369 1.840 8.169
-1.036 4.306 3.492
-3.765 4.720 7.883
1.055 0.640 2.303
-1.674 2.369 6.695
1.944 3.648 2.088
-0.785 5.378 6.480
4.035 1.297 0.900
1.306 1.712 5.291
4.638 4.177 0.614
1.909 4.849 5.006
```

Computed properties:
raw formation energy = -1731 meV/atom
E_tot = -3.648 eV/atom
magnetic moment = 1.546 μB/cell



The following is a GGA-PBE calculation of a relaxed NaLiRe2Ir crystal, from Alexandria.

Geometry as POSCAR:
```
NaLiRe2Ir
1.0
4.296 0.000 0.000
0.000 4.296 0.000
0.000 0.000 3.923
Na Li Re Ir
1 1 2 1
Cartesian
0.000 0.000 0.000
0.000 0.000 1.961
0.000 2.148 1.961
2.148 0.000 1.961
2.148 2.148 0.000
```

Computed properties:
formation energy = 152.94 kJ/mol of atoms
E_tot = -5.813 eV/atom
magnetic moment = 0.002 μB/cell



The following is a GGA-PBE calculation of a relaxed Sr2Sn2Pd crystal, from Alexandria.

Geometry as POSCAR:
```
Sr2Sn2Pd
1.0
-3.282 3.282 3.992
3.282 -3.282 3.992
3.282 3.282 -3.992
Sr Sn Pd
2 2 1
Cartesian
3.282 0.000 1.996
0.000 3.282 1.996
0.000 0.000 1.383
0.000 0.000 6.600
0.000 0.000 3.992
```

Computed properties:
formation energy = -23.93 kJ/mol of atoms
E_tot = -3.560 eV/atom
magnetic moment = 0.000 μB/cell



The following is a GGA-PBE calculation of a relaxed PuPa2In crystal, from Alexandria.

Geometry as POSCAR:
```
PuPa2In
1.0
3.820 0.000 0.000
0.000 3.820 0.000
0.000 0.000 6.735
Pu Pa In
1 2 1
Cartesian
0.000 0.000 0.000
1.910 1.910 1.538
1.910 1.910 5.196
0.000 0.000 3.367
```

Computed properties:
formation energy = 11.93 kJ/mol of atoms
E_tot = -8.892 eV/atom
magnetic moment = 5.794 μB/cell